Below is an optimized crystal structure of CaNd2Rh, with properties calculated at the PBE level.

Lattice parameters (Å, degrees): 6.4365 7.4370 9.9395 90.00 90.00 90.00
Closest atoms and distances in Å follow each position.
Positions (direct):
Ca 0.6400 0.5374 0.2500  2 Rh 3.01-3.07
Ca 0.8600 0.0374 0.2500  2 Rh 3.01-3.07
Ca 0.3600 0.4626 0.7500  2 Rh 3.01-3.07
Ca 0.1400 0.9626 0.7500  2 Rh 3.01-3.07
Nd 0.1719 0.6731 0.0648  2 Rh 2.84-2.91
Nd 0.3281 0.1731 0.4352  2 Rh 2.84-2.91
Nd 0.8281 0.3269 0.5648  2 Rh 2.84-2.91
Nd 0.6719 0.8269 0.9352  2 Rh 2.84-2.91
Nd 0.8281 0.3269 0.9352  2 Rh 2.84-2.91
Nd 0.6719 0.8269 0.5648  2 Rh 2.84-2.91
Nd 0.1719 0.6731 0.4352  2 Rh 2.84-2.91
Nd 0.3281 0.1731 0.0648  2 Rh 2.84-2.91
Rh 0.0855 0.3912 0.2500  4 Nd 2.84-2.91, 2 Ca 3.01-3.07
Rh 0.4145 0.8912 0.2500  4 Nd 2.84-2.91, 2 Ca 3.01-3.07
Rh 0.9145 0.6088 0.7500  4 Nd 2.84-2.91, 2 Ca 3.01-3.07
Rh 0.5855 0.1088 0.7500  4 Nd 2.84-2.91, 2 Ca 3.01-3.07

Values from the calculation:
Excess energy over the best structure of this formula in the dataset = 0.000 eV per atom
Magnetic moment = 0.00 μB/f.u.
Formation energy from the elements = -382 meV per atom

---

Below is an optimized crystal structure of MoAsH, with properties calculated at the PBE level.

Lattice parameters (Å, degrees): 5.6089 4.8727 5.9517 65.90 90.00 90.00
Closest atoms and distances in Å follow each position.
Positions (direct):
H 0.9387 0.7225 0.4645  3 Mo 1.87-1.98
H 0.4387 0.7775 0.0355  3 Mo 1.87-1.98
H 0.0613 0.2775 0.5355  3 Mo 1.87-1.98
H 0.5613 0.2225 0.9645  3 Mo 1.87-1.98
Mo 0.6817 0.8744 0.2157  3 H 1.87-1.98
Mo 0.1817 0.6256 0.2843  3 H 1.87-1.98
Mo 0.3183 0.1256 0.7843  3 H 1.87-1.98
Mo 0.8183 0.3744 0.7157  3 H 1.87-1.98
As 0.9162 0.7943 0.8759  3 H 2.53-2.83, 5 Mo 2.57-2.70, 1 As 2.80
As 0.4162 0.7057 0.6241  3 H 2.53-2.83, 5 Mo 2.57-2.70, 1 As 2.80
As 0.0838 0.2057 0.1241  3 H 2.53-2.83, 5 Mo 2.57-2.70, 1 As 2.80
As 0.5838 0.2943 0.3759  3 H 2.53-2.83, 5 Mo 2.57-2.70, 1 As 2.80

Values from the calculation:
Excess energy over the best structure of this formula in the dataset = 0.000 eV per atom
Magnetic moment = 0.00 μB/f.u.